[1]
First-principles (PBE-GGA) data for La2CuTe3 after structural relaxation, as listed in Alexandria via LeMat-Bulk.

N(E_F) in states/eV per atom: 0.58
Energy in eV per formula unit: -30.78
Spin magnetization in Bohr magnetons per cell: 0.00

abc: 12.8975 4.4612 12.3905
angles: 90.00 90.00 90.00
Last column: nearest neighbours and their distance in Å.
Atoms (fractional coordinates):
La: 0.0248 0.2500 0.1809  2 Cu 3.17, 7 Te 3.24-3.43
La: 0.2072 0.2500 0.4909  1 Cu 3.20, 6 Te 3.24-3.36
La: 0.2928 0.7500 0.9909  1 Cu 3.20, 6 Te 3.24-3.36
La: 0.4752 0.7500 0.6809  2 Cu 3.17, 7 Te 3.24-3.43
La: 0.5248 0.2500 0.3191  2 Cu 3.17, 7 Te 3.24-3.43
La: 0.7072 0.2500 0.0091  1 Cu 3.20, 6 Te 3.24-3.36
La: 0.7928 0.7500 0.5091  1 Cu 3.20, 6 Te 3.24-3.36
La: 0.9752 0.7500 0.8191  2 Cu 3.17, 7 Te 3.24-3.43
Cu: 0.1934 0.7500 0.2273  3 Te 2.59-2.61
Cu: 0.3066 0.2500 0.7273  3 Te 2.59-2.61
Cu: 0.6934 0.7500 0.2727  3 Te 2.59-2.61
Cu: 0.8066 0.2500 0.7727  3 Te 2.59-2.61
Te: 0.0505 0.7500 0.3768  1 Cu 2.61
Te: 0.1182 0.2500 0.9380  5 La 3.24-3.25, 1 Cu 3.57
Te: 0.2092 0.7500 0.6940  2 Cu 2.59
Te: 0.2908 0.2500 0.1940  2 Cu 2.59
Te: 0.3818 0.7500 0.4380  5 La 3.24-3.25, 1 Cu 3.57
Te: 0.4495 0.2500 0.8768  1 Cu 2.61
Te: 0.5505 0.7500 0.1232  1 Cu 2.61
Te: 0.6182 0.2500 0.5620  5 La 3.24-3.25, 1 Cu 3.57
Te: 0.7092 0.7500 0.8060  2 Cu 2.59
Te: 0.7908 0.2500 0.3060  2 Cu 2.59
Te: 0.8818 0.7500 0.0620  5 La 3.24-3.25, 1 Cu 3.57
Te: 0.9495 0.2500 0.6232  1 Cu 2.61

[2]
First-principles (PBE-GGA) data for BaErNpO6 after structural relaxation, as listed in Alexandria via LeMat-Bulk.

Energy in eV per formula unit: -76.32
Spin magnetization in Bohr magnetons per cell: 0.00

abc: 5.8305 5.8305 11.0648
angles: 90.00 90.00 120.00
Last column: nearest neighbours and their distance in Å.
Atoms (fractional coordinates):
Ba: 0.0000 0.0000 0.0000  6 O 2.76
Ba: 0.0000 0.0000 0.5000  6 O 2.76
Er: 0.3333 0.6667 0.2500  6 O 2.25
Er: 0.6667 0.3333 0.7500  6 O 2.25
Np: 0.3333 0.6667 0.7500  6 O 2.03
Np: 0.6667 0.3333 0.2500  6 O 2.03
O: 0.0272 0.3914 0.6498  1 Np 2.03, 1 Er 2.25
O: 0.0272 0.6358 0.8502  1 Np 2.03, 1 Er 2.25
O: 0.3642 0.3914 0.8502  1 Np 2.03, 1 Er 2.25
O: 0.3642 0.9728 0.6498  1 Np 2.03, 1 Er 2.25
O: 0.3914 0.0272 0.1498  1 Np 2.03, 1 Er 2.25
O: 0.3914 0.3642 0.3502  1 Np 2.03, 1 Er 2.25
O: 0.6086 0.6358 0.6498  1 Np 2.03, 1 Er 2.25
O: 0.6086 0.9728 0.8502  1 Np 2.03, 1 Er 2.25
O: 0.6358 0.0272 0.3502  1 Np 2.03, 1 Er 2.25
O: 0.6358 0.6086 0.1498  1 Np 2.03, 1 Er 2.25
O: 0.9728 0.3642 0.1498  1 Np 2.03, 1 Er 2.25
O: 0.9728 0.6086 0.3502  1 Np 2.03, 1 Er 2.25

| no. | raw formation energy (meV/atom) |
| --- | --- |
| 1 | -1234 |
| 2 | -3016 |